# InPbWO6 (GGA+U, optimized geometry)
data_InPbWO6
_chemical_formula_sum 'In1 Pb1 W1 O6'
_cell_length_a 5.505
_cell_length_b 5.505
_cell_length_c 4.932
_cell_angle_alpha 90.00
_cell_angle_beta 90.00
_cell_angle_gamma 120.00
_symmetry_space_group_name_H-M 'P 1'
_symmetry_Int_Tables_number 1
loop_
_symmetry_equiv_pos_as_xyz
'x,y,z'
loop_
_atom_site_label
_atom_site_type_symbol
_atom_site_fract_x
_atom_site_fract_y
_atom_site_fract_z
In1 In 0.000 0.000 0.000
Pb1 Pb 0.667 0.333 0.500
W1 W 0.333 0.667 0.000
O1 O 0.047 0.362 0.221
O2 O 0.047 0.684 0.779
O3 O 0.316 0.362 0.779
O4 O 0.316 0.953 0.221
O5 O 0.638 0.684 0.221
O6 O 0.638 0.953 0.779
# - V: 129.45 Å³/cell
# - Electronic total energy: -6.345 eV per atom